# 1
The following is a PBE calculation of crystalline YZn2Au at its relaxed geometry, from OQMD via LeMat-Bulk.

abc: 4.7526 4.7526 4.7526
angles: 60.00 60.00 60.00
Last column: nearest neighbours and their distance in Å.
Sites, in units of the cell vectors:
Au 0.5000 0.5000 0.5000  4 Y 2.91, 4 Zn 2.91
Y 0.7500 0.7500 0.7500  4 Au 2.91, 4 Zn 2.91
Zn 0.0000 0.0000 0.0000  4 Zn 2.91, 4 Y 2.91
Zn 0.2500 0.2500 0.2500  4 Zn 2.91, 4 Au 2.91

DFT formation energy, meV per atom: -473
Crystal system: cubic

# 2
The following is a PBE calculation of crystalline Cd2TcPd at its relaxed geometry, from OQMD via LeMat-Bulk.

abc: 4.6363 4.6363 4.6363
angles: 60.00 60.00 60.00
Last column: nearest neighbours and their distance in Å.
Sites, in units of the cell vectors:
Cd 0.0000 0.0000 0.0000  4 Cd 2.84, 4 Pd 2.84
Cd 0.2500 0.2500 0.2500  4 Tc 2.84, 4 Cd 2.84
Pd 0.7500 0.7500 0.7500  4 Cd 2.84, 4 Tc 2.84
Tc 0.5000 0.5000 0.5000  4 Cd 2.84, 4 Pd 2.84

DFT formation energy, meV per atom: 268
Crystal system: cubic

# 3
The following is a PBE calculation of crystalline YTmGa4Au2 at its relaxed geometry, from OQMD via LeMat-Bulk.

abc: 6.6652 5.6478 5.6478
angles: 46.98 90.00 90.00
Last column: nearest neighbours and their distance in Å.
Sites, in units of the cell vectors:
Au 0.5000 0.2996 0.2996  6 Ga 2.73-2.75, 1 Y 3.02
Au 0.0000 0.7005 0.7005  6 Ga 2.73-2.75, 1 Tm 3.03
Ga 0.1997 0.1199 0.1199  2 Ga 2.57-2.66, 3 Au 2.73-2.75
Ga 0.8003 0.1199 0.1199  2 Ga 2.57-2.66, 3 Au 2.73-2.75
Ga 0.2993 0.8803 0.8803  2 Ga 2.57-2.68, 3 Au 2.73-2.75
Ga 0.7007 0.8803 0.8803  2 Ga 2.57-2.68, 3 Au 2.73-2.75
Tm 0.0000 0.4082 0.4082  6 Ga 3.02-3.27, 3 Au 3.03-3.11
Y 0.5000 0.5914 0.5914  3 Au 3.02-3.12, 6 Ga 3.03-3.28

Crystal system: orthorhombic
VASP energy, eV/cell: -34.8

# 4
The following is a PBE calculation of crystalline InOsAu2 at its relaxed geometry, from OQMD via LeMat-Bulk.

abc: 4.6371 4.6371 4.6371
angles: 60.00 60.00 60.00
Last column: nearest neighbours and their distance in Å.
Sites, in units of the cell vectors:
Au 0.0000 0.0000 0.0000  4 Au 2.84, 4 Os 2.84
Au 0.7500 0.7500 0.7500  4 Au 2.84, 4 In 2.84
In 0.5000 0.5000 0.5000  4 Os 2.84, 4 Au 2.84
Os 0.2500 0.2500 0.2500  4 In 2.84, 4 Au 2.84

Crystal system: cubic
VASP energy, eV/cell: -18.6

Number 1: size of the total moment 0.0 Bohr magnetons per cell, volume 75.9 Å³/f.u.. Number 2: size of the total moment 2.5 Bohr magnetons per cell, volume 70.5 Å³/f.u.. Number 3: size of the total moment 0.0 Bohr magnetons per cell, volume 155.4 Å³/f.u.. Number 4: size of the total moment 0.0 Bohr magnetons per cell, volume 70.5 Å³/f.u..